Record 1
Compound: BaPtI2O
Source: Alexandria via LeMat-Bulk
Functional: PBE
Structure: relaxed

a b c (Å): 5.8363 5.8363 4.0956
angles (deg): 90.00 90.00 90.00
Fractional positions:
Ba (0.0000, 0.0000, 0.0000)
Pt (0.5000, 0.5000, 0.5000)
I (0.0000, 0.5000, 0.5000)
I (0.5000, 0.0000, 0.5000)
O (0.5000, 0.5000, 0.0000)

Calculated values
total magnetization: 0.7 μB/f.u.
ΔE to the lowest computed polymorph: 0 meV per atom
E_form (uncorrected): -771.5 meV/atom
calculated total energy: -3.976 eV/atom

---

Record 2
Compound: BaPtIO6
Source: Alexandria via LeMat-Bulk
Functional: PBE
Structure: relaxed

a b c (Å): 5.4284 5.4284 5.8579
angles (deg): 90.00 90.00 120.00
Fractional positions:
Ba (0.0000, 0.0000, 0.0000)
Pt (0.3333, 0.6667, 0.5000)
I (0.6667, 0.3333, 0.5000)
O (0.0027, 0.3749, 0.6919)
O (0.0027, 0.6278, 0.3081)
O (0.3722, 0.3749, 0.3081)
O (0.3722, 0.9973, 0.6919)
O (0.6251, 0.6278, 0.6919)
O (0.6251, 0.9973, 0.3081)

Calculated values
total magnetization: 0.9 μB/f.u.
E_form (uncorrected): -990.9 meV/atom
calculated total energy: -5.353 eV/atom

---

Question: The highest E_form (uncorrected) belongs to which entry?
Answer: BaPtI2O

---

Please write out number 2 again, unchanged.
Compound: BaPtIO6
Source: Alexandria via LeMat-Bulk
Functional: PBE
Structure: relaxed

a b c (Å): 5.4284 5.4284 5.8579
angles (deg): 90.00 90.00 120.00
Fractional positions:
Ba (0.0000, 0.0000, 0.0000)
Pt (0.3333, 0.6667, 0.5000)
I (0.6667, 0.3333, 0.5000)
O (0.0027, 0.3749, 0.6919)
O (0.0027, 0.6278, 0.3081)
O (0.3722, 0.3749, 0.3081)
O (0.3722, 0.9973, 0.6919)
O (0.6251, 0.6278, 0.6919)
O (0.6251, 0.9973, 0.3081)

Calculated values
total magnetization: 0.9 μB/f.u.
E_form (uncorrected): -990.9 meV/atom
calculated total energy: -5.353 eV/atom

---

Question: Which formula does entry 1 have?
Answer: BaPtI2O